Here is a geometry-optimized Cd2C structure from the Alexandria database. Energies are from GGA-PBE.

As for the density: 7.9 g/cm3. Its energy relative to the elements is 1.287 eV per atom. The total DFT energy (no corrections) is -21.58 eV per cell. The value obtained for the energy relative to the lowest polymorph listed for this composition is 52.5 kJ/mol of atoms.

Lattice parameters (Å, degrees): 6.4895 6.4895 4.0982 90.00 90.00 120.00
Space group P-62m (No. 189)
Unique sites:
Cd 0.0000 0.2793 0.0000 x3
Cd 0.0000 0.6177 0.5000 x3
C 0.0000 0.0000 0.5000 x1
C 0.3333 0.6667 0.0000 x2

***

Here is a geometry-optimized Na3TiRh3Se8 structure from the Alexandria database. Energies are from GGA-PBE.

As for the density: 5.3 g/cm3. The total DFT energy (no corrections) is -218.55 eV per cell.

Lattice parameters (Å, degrees): 7.4744 7.4744 20.6997 90.00 90.00 120.00
Space group R-3m (No. 166, hexagonal axes)
Unique sites:
Na 0.0000 0.5000 0.0000 x9
Ti 0.0000 0.0000 0.5000 x3
Rh 0.0000 0.5000 0.5000 x9
Se 0.0000 0.0000 0.2288 x6
Se 0.0069 0.5034 0.7667 x18

***

Here is a geometry-optimized Pr5Nd8Al structure from the Alexandria database. Energies are from GGA-PBE.

As for the density: 6.3 g/cm3. Its energy relative to the elements is 0.119 eV per atom. The total DFT energy (no corrections) is -128.22 eV per cell.

Lattice parameters (Å, degrees): 10.7744 10.7744 8.5101 90.00 90.00 90.00
Space group I-4 (No. 82)
Unique sites:
Pr 0.0000 0.0000 0.0000 x2
Pr 0.0044 0.8072 0.4052 x8
Nd 0.0007 0.3404 0.0743 x8
Nd 0.1939 0.7095 0.7506 x8
Al 0.0000 0.5000 0.7500 x2

***

Here is a geometry-optimized YSc3Sn structure from the Alexandria database. Energies are from GGA-PBE.

As for the density: 3.6 g/cm3. Its energy relative to the elements is 0.267 eV per atom. The total DFT energy (no corrections) is -28.12 eV per cell. The value obtained for the energy relative to the lowest polymorph listed for this composition is 0.0 kJ/mol of atoms.

Lattice parameters (Å, degrees): 5.4044 5.4044 5.4044 90.00 90.00 90.00
Space group Pm-3m (No. 221)
Unique sites:
Y 0.0000 0.0000 0.0000 x1
Sc 0.0000 0.5000 0.5000 x3
Sn 0.5000 0.5000 0.5000 x1